Density functional theory data (PBE) for a relaxed YOsCl2 crystal.

Geometry as extended XYZ:
```
4
Lattice="1.878 1.084 7.598 -1.878 1.084 7.598 0.000 -2.169 7.598" Properties=species:S:1:pos:R:3 pbc="T T T"
Y 0.000 0.000 0.000
Os 0.000 0.000 11.397
Cl 0.000 0.000 2.707
Cl 0.000 0.000 20.086
```

* energy above the lowest structure with this stoichiometry: 0.930 eV per atom
* Fermi-level density of states: 1.069 states/eV per atom
* symmetry: R-3m
* raw formation energy: 0.356 eV per atom
* raw total energy: -19.96 eV per formula unit